# 1
! BePd3 | the Alexandria database | GGA-PBE | relaxed; values from VASP
! symmetry	Pm-3m, No. 221
! distance to the lowest polymorph of the same formula	236.0	meV per atom
! total energy	-4.9733	eV per atom
! energy of formation from the pure elements	-147.1	meV/atom
! DOS(E_F)	1.46	states/eV per atom
&SYSTEM
  ibrav = 0, nat = 4, ntyp = 2
/
ATOMIC_SPECIES
Pd 106.42 Pd.upf
Be 9.01 Be.upf
ATOMIC_POSITIONS angstrom
Pd 1.909 0.000 1.909
Be 0.000 0.000 0.000
Pd 1.909 1.909 0.000
Pd 0.000 1.909 1.909
CELL_PARAMETERS angstrom
3.818 0.000 0.000
0.000 3.818 0.000
0.000 0.000 3.818

=====

# 2
! BePd3 | the Alexandria database | GGA-PBE | relaxed; values from VASP
! symmetry	Cmcm, No. 63
! distance to the lowest polymorph of the same formula	0.0	meV per atom
! total energy	-5.2093	eV per atom
! energy of formation from the pure elements	-383.1	meV/atom
! DOS(E_F)	0.31	states/eV per atom
&SYSTEM
  ibrav = 0, nat = 8, ntyp = 2
/
ATOMIC_SPECIES
Pd 106.42 Pd.upf
Be 9.01 Be.upf
ATOMIC_POSITIONS angstrom
Pd 1.425 0.634 1.908
Be 0.000 2.461 1.908
Be 1.425 2.472 5.725
Pd 1.425 3.583 3.352
Pd 0.000 1.350 7.169
Pd 1.425 3.583 0.465
Pd 0.000 1.350 4.282
Pd 0.000 4.299 5.725
CELL_PARAMETERS angstrom
2.851 0.000 0.000
-1.425 4.933 0.000
0.000 0.000 7.634

=====

# 3
! BePd4 | the Alexandria database | GGA-PBE | relaxed; values from VASP
! symmetry	Ccce, No. 68
! distance to the lowest polymorph of the same formula	14.0	meV per atom
! total energy	-5.0737	eV per atom
! energy of formation from the pure elements	-174.2	meV/atom
! DOS(E_F)	0.80	states/eV per atom
&SYSTEM
  ibrav = 0, nat = 10, ntyp = 2
/
ATOMIC_SPECIES
Pd 106.42 Pd.upf
Be 9.01 Be.upf
ATOMIC_POSITIONS angstrom
Pd -3.722 2.439 -0.228
Pd -5.090 -1.265 -1.875
Be 0.000 0.000 0.000
Pd -2.467 -4.334 -0.743
Be -1.468 -2.691 -2.302
Pd -4.941 1.415 -2.644
Pd -1.813 -1.650 -0.339
Pd -3.871 -0.240 0.540
Pd -3.382 -3.328 -3.296
Pd -2.729 -0.644 -2.891
CELL_PARAMETERS angstrom
-2.135 -0.018 -4.968
-0.802 -5.364 0.364
-4.068 3.480 1.735